[1]
LiTl2SiO4, optimized geometry, DFT PBE; SG = Fddd (70); M_tot = 0.000 μB per cell; formation energy from raw total energies = -1501 meV per atom
1.0
-0.065 -3.496 3.378
-1.771 -5.320 -2.041
8.913 -3.927 -0.395
Si O Li Tl
2 8 2 4
direct
0.250 0.500 0.500
0.500 0.000 0.000
0.846 0.819 0.910
0.505 0.319 0.590
0.335 0.819 0.090
0.574 0.181 0.090
0.176 0.319 0.410
0.904 0.681 0.590
0.415 0.681 0.410
0.245 0.181 0.910
0.750 0.500 0.500
0.000 0.000 0.000
0.173 0.000 0.653
0.827 0.000 0.347
0.577 0.500 0.847
0.923 0.500 0.153



[2]
LiTl6Si2O7, optimized geometry, DFT PBE; energy above the lowest structure with this stoichiometry = 0.0 meV/atom; SG = P1 (1); M_tot = 0.000 μB per cell; formation energy from raw total energies = -1434 meV per atom
1.0
-1.571 -5.086 -0.453
6.422 -2.083 -5.936
7.168 -3.148 3.078
Si O Tl Li
2 7 6 1
direct
0.281 0.334 0.284
0.806 0.713 0.688
0.155 0.148 0.352
0.861 0.552 0.653
0.592 0.318 0.262
0.732 0.888 0.519
0.194 0.396 0.440
0.705 0.686 0.883
0.153 0.465 0.096
0.821 0.112 0.170
0.282 0.381 0.733
0.243 0.763 0.918
0.294 0.860 0.440
0.892 0.637 0.321
0.804 0.162 0.574
0.797 0.483 0.079



[3]
LiTl6Si2O7, optimized geometry, DFT PBE; energy above the lowest structure with this stoichiometry = 5.6 meV/atom; SG = P1 (1); M_tot = 0.947 μB per cell; formation energy from raw total energies = -1429 meV per atom
1.0
-1.238 1.719 -4.861
0.604 -8.347 -2.865
-7.830 2.692 3.731
Tl Si O Li
6 2 7 1
direct
0.820 0.270 0.900
0.085 0.827 0.165
0.767 0.619 0.697
0.177 0.391 0.297
0.713 0.141 0.408
0.231 0.887 0.594
0.701 0.666 0.314
0.231 0.328 0.654
0.803 0.559 0.411
0.386 0.666 0.296
0.302 0.135 0.526
0.294 0.476 0.604
0.242 0.379 0.850
0.839 0.864 0.409
0.771 0.572 0.115
0.412 0.537 0.048



[4]
LiTmSiO4, optimized geometry, DFT PBE; energy above the lowest structure with this stoichiometry = 0.0 meV/atom; SG = Pnma (62); M_tot = 0.000 μB per cell; formation energy from raw total energies = -3042 meV per atom
1.0
4.942 0.000 0.000
0.000 6.264 0.000
0.000 0.000 10.851
O Si Li Tm
16 4 4 4
direct
0.726 0.045 0.837
0.726 0.455 0.837
0.712 0.250 0.051
0.774 0.045 0.337
0.788 0.250 0.551
0.255 0.250 0.902
0.274 0.955 0.163
0.226 0.545 0.663
0.745 0.750 0.098
0.774 0.455 0.337
0.755 0.750 0.598
0.226 0.955 0.663
0.212 0.750 0.449
0.274 0.545 0.163
0.288 0.750 0.949
0.245 0.250 0.402
0.083 0.750 0.588
0.583 0.250 0.912
0.917 0.250 0.412
0.417 0.750 0.088
0.000 0.500 0.000
0.500 0.500 0.500
0.000 0.000 0.000
0.500 0.000 0.500
0.481 0.250 0.223
0.981 0.750 0.277
0.019 0.250 0.723
0.519 0.750 0.777



[5]
LiTmSiO4, optimized geometry, DFT PBE; energy above the lowest structure with this stoichiometry = 164.3 meV/atom; SG = Imma (74); M_tot = 0.000 μB per cell; formation energy from raw total energies = -2878 meV per atom
1.0
5.783 0.000 0.000
2.892 5.209 -0.304
2.892 1.298 5.054
Tm O Si Li
2 8 2 2
direct
0.000 0.500 0.500
0.000 0.000 0.000
0.745 0.243 0.743
0.271 0.687 0.770
0.268 0.243 0.743
0.255 0.757 0.257
0.729 0.730 0.813
0.729 0.313 0.230
0.271 0.270 0.187
0.732 0.757 0.257
0.383 0.367 0.867
0.617 0.633 0.133
0.000 0.000 0.500
0.500 0.000 0.500



[6]
Li3Tm3SiO8, optimized geometry, DFT PBE; SG = R-3m (166); M_tot = 0.000 μB per cell; formation energy from raw total energies = -2831 meV per atom
1.0
6.415 0.000 0.000
-3.207 5.555 -0.019
0.000 -3.688 4.914
O Tm Li Si
8 3 3 1
direct
0.211 0.001 0.712
0.789 0.999 0.288
0.789 0.578 0.288
0.790 0.001 0.712
0.210 0.999 0.288
0.211 0.422 0.712
0.744 0.489 0.733
0.256 0.511 0.267
0.500 0.000 0.500
0.500 0.500 0.500
0.000 0.500 0.500
0.500 0.500 0.000
0.000 0.000 0.000
0.000 0.500 0.000
0.000 0.000 0.500



[7]
LiUSiO6, optimized geometry, DFT PBE; SG = P-31c (163); M_tot = 0.003 μB per cell; formation energy from raw total energies = -2373 meV per atom
1.0
-0.417 -3.688 -3.589
-1.650 -0.883 4.812
-8.291 3.143 -2.266
O Li U Si
12 2 2 2
direct
0.339 0.380 0.360
0.380 0.041 0.640
0.661 0.620 0.640
0.959 0.339 0.640
0.959 0.620 0.860
0.380 0.339 0.860
0.339 0.959 0.140
0.661 0.041 0.860
0.620 0.661 0.140
0.620 0.959 0.360
0.041 0.380 0.140
0.041 0.661 0.360
0.000 0.000 0.500
0.000 0.000 0.000
0.333 0.667 0.750
0.667 0.333 0.250
0.333 0.667 0.250
0.667 0.333 0.750